Material: Tb3DyHo2
Method: DFT, PBE
State: optimized geometry Values from VASP.

Properties
formation energy = -0.002 eV per atom
polymorph energy (0 for the lowest one) = 0 meV/atom
density = 8.55 g/cm3
symmetry = P-1, No. 2

```
&SYSTEM
  ibrav = 0, nat = 12, ntyp = 3
/
ATOMIC_SPECIES
Tb 158.93 Tb.upf
Dy 162.50 Dy.upf
Ho 164.93 Ho.upf
CELL_PARAMETERS angstrom
7.136 0.000 0.000
-3.565 6.184 0.000
-1.783 -1.035 8.535
ATOMIC_POSITIONS crystal
Tb 0.000 0.250 0.000
Tb 0.000 0.750 0.000
Tb 0.222 0.361 0.666
Tb 0.278 0.639 0.334
Tb 0.722 0.361 0.666
Tb 0.778 0.639 0.334
Dy 0.500 0.250 0.000
Dy 0.500 0.750 0.000
Ho 0.222 0.862 0.666
Ho 0.278 0.138 0.334
Ho 0.722 0.862 0.666
Ho 0.778 0.138 0.334
```